(1)
## Sm8AgIr2 (GGA-PBE)

Data for a relaxed Sm8AgIr2 crystal.

Cell: 5.772 7.922 7.922 Å, 113.55 98.09 98.09°
Atoms (fractional coordinates):
Ag  0.500  0.000  0.000
Sm  0.500  0.242  0.758
Sm  0.500  0.758  0.242
Sm  0.085  0.075  0.332
Sm  0.915  0.668  0.925
Sm  0.915  0.925  0.668
Sm  0.085  0.332  0.075
Sm  0.304  0.618  0.618
Sm  0.696  0.382  0.382
Ir  0.000  0.697  0.303
Ir  0.000  0.303  0.697

Computed properties:
- calculated formation energy (eV/atom) = -0.287
- space-group type = No. 12

(2)
## PmThZnNi (GGA-PBE)

Data for a relaxed PmThZnNi crystal.

Cell: 5.063 5.063 5.063 Å, 60.00 60.00 60.00°
Atoms (fractional coordinates):
Pm  0.250  0.250  0.250
Th  0.750  0.750  0.750
Ni  0.500  0.500  0.500
Zn  0.000  0.000  0.000

Computed properties:
- calculated formation energy (eV/atom) = -0.193
- space-group type = No. 216

(3)
## Th6Ge2Bi3Te (GGA-PBE)

Data for a relaxed Th6Ge2Bi3Te crystal.

Cell: 4.444 9.032 10.067 Å, 103.90 102.75 90.00°
Atoms (fractional coordinates):
Bi  0.161  0.833  0.322
Bi  0.500  0.500  0.000
Bi  0.839  0.167  0.678
Th  0.330  0.889  0.660
Th  0.675  0.566  0.350
Th  0.988  0.748  0.976
Th  0.012  0.252  0.024
Th  0.670  0.111  0.340
Th  0.325  0.434  0.650
Ge  0.832  0.666  0.665
Ge  0.168  0.334  0.335
Te  0.500  0.000  0.000

Computed properties:
- space-group type = No. 12

no.,N(E_F) (states/eV/f.u.),raw total energy (eV/atom)
1,14.6,-5.589
2,4.2,-5.000
3,6.6,-6.476